First-principles (PBE+U) data for a relaxed MnIrPdO crystal, as listed in Alexandria via LeMat-Bulk.

V   110 Å³ per cell
VASP energy   -55.5 eV per cell

abc: 2.7920 2.7920 14.0783
angles: 90.00 90.00 90.00
Last column: nearest neighbours and their distance in Å.
Space group I4mm (No. 107)
Symmetry-distinct sites (fractional):
Mn 0.0000 0.0000 0.0000 [2 per cell]  4 O 2.16
Ir 0.0000 0.0000 0.3478 [2 per cell]  4 Pd 2.74, 4 Ir 2.79, 4 Mn 2.91, 1 O 3.01
Pd 0.0000 0.0000 0.7126 [2 per cell]  1 O 2.12
O 0.0000 0.0000 0.5618 [2 per cell]  1 Pd 2.12, 4 Mn 2.16